# 1
Compound: Bi3S3O
Source: Alexandria
Functional: PBE
Structure: relaxed

Structure (extended XYZ):
```
14
Lattice="-1.9001 3.0019 -4.4329 -5.2693 -5.7758 -1.6527 -4.4285 4.4701 4.9253" Properties=species:S:1:pos:R:3 pbc="T T T"
Bi -8.1738 2.6801 -0.1417
Bi -4.1543 3.2206 -1.4986
Bi -5.9546 5.4941 0.8127
Bi -3.4242 -0.9839 -1.0186
Bi -7.4436 -1.5244 0.3382
Bi -5.6433 -3.7979 -1.9730
S -7.3979 0.8513 1.9274
S -3.0752 1.4331 0.4685
S -4.9994 4.0415 3.0597
S -4.2000 0.8449 -3.0877
S -8.5227 0.2632 -1.6289
S -6.5985 -2.3453 -4.2200
O -6.1165 3.5246 -0.4516
O -5.4814 -1.8284 -0.7087
```

Results
DOS at the Fermi energy: 0.2749 states/eV per atom
Energy relative to the elements, uncorrected: -439 meV per atom
Calculated total energy: -4.579 eV per atom
Symmetry: Cmcm (63)
E above lowest polymorph: 0 meV per atom

# 2
Compound: LaPbW3
Source: Alexandria
Functional: PBE
Structure: relaxed

Structure (extended XYZ):
```
5
Lattice="4.9647 0.0000 0.0000 0.0000 4.9647 0.0000 0.0000 0.0000 4.9647" Properties=species:S:1:pos:R:3 pbc="T T T"
Pb 2.4824 2.4824 2.4824
W 0.0000 2.4824 0.0000
W 0.0000 0.0000 2.4824
W 2.4824 0.0000 0.0000
La 0.0000 0.0000 0.0000
```

Results
DOS at the Fermi energy: 1.4663 states/eV per atom
Calculated total energy: -6.663 eV per atom
Symmetry: Pm-3m (221)
E above lowest polymorph: 406 meV per atom

# 3
Compound: LiPaPb2O5
Source: Alexandria
Functional: PBE
Structure: relaxed

Structure (extended XYZ):
```
9
Lattice="4.3946 0.0000 0.0000 0.0000 4.3946 0.0000 0.0000 0.0000 8.3229" Properties=species:S:1:pos:R:3 pbc="T T T"
Li 0.0000 0.0000 0.0000
Pa 0.0000 0.0000 4.1615
Pb 2.1973 2.1973 2.1202
Pb 2.1973 2.1973 6.2028
O 0.0000 2.1973 4.1615
O 2.1973 0.0000 4.1615
O 0.0000 0.0000 6.3153
O 0.0000 0.0000 2.0076
O 2.1973 2.1973 0.0000
```

Results
DOS at the Fermi energy: 0.0000 states/eV per atom
Energy relative to the elements, uncorrected: -2050 meV per atom
Calculated total energy: -6.897 eV per atom
Symmetry: P4/mmm (123)

# 4
Compound: GeSb2TeAs
Source: Alexandria
Functional: PBE
Structure: relaxed

Structure (extended XYZ):
```
5
Lattice="5.3021 0.0000 0.0000 0.0000 5.3021 0.0000 0.0000 0.0000 5.5305" Properties=species:S:1:pos:R:3 pbc="T T T"
Sb 0.0000 2.6511 0.0000
Sb 2.6511 0.0000 0.0000
As 0.0000 0.0000 0.0000
Te 0.0000 0.0000 2.7652
Ge 2.6511 2.6511 2.7652
```

Results
DOS at the Fermi energy: 1.0970 states/eV per atom
Energy relative to the elements, uncorrected: 734 meV per atom
Calculated total energy: -3.396 eV per atom
Symmetry: P4/mmm (123)
E above lowest polymorph: 0 meV per atom

# 5
Compound: NpAl2
Source: Alexandria
Functional: PBE
Structure: relaxed

Structure (extended XYZ):
```
3
Lattice="-0.7800 1.8062 -1.8357 -2.5685 -0.6849 0.4175 1.1860 4.3308 5.7294" Properties=species:S:1:pos:R:3 pbc="T T T"
Np 0.0000 0.0000 0.0000
Al -1.8410 2.2308 1.0050
Al -0.3215 3.2213 3.3062
```

Results
DOS at the Fermi energy: 1.5950 states/eV per atom
Calculated total energy: -6.742 eV per atom
Symmetry: I4/mmm (139)

# 6
Compound: TiVP2S
Source: Alexandria
Functional: PBE
Structure: relaxed

Structure (extended XYZ):
```
5
Lattice="4.6727 0.0000 0.0000 0.0000 4.6727 0.0000 0.0000 0.0000 4.6097" Properties=species:S:1:pos:R:3 pbc="T T T"
P 0.0000 2.3364 0.0000
P 2.3364 0.0000 0.0000
S 0.0000 0.0000 2.3049
Ti 0.0000 0.0000 0.0000
V 2.3364 2.3364 2.3049
```

Results
DOS at the Fermi energy: 0.9741 states/eV per atom
Energy relative to the elements, uncorrected: 290 meV per atom
Calculated total energy: -6.102 eV per atom
Symmetry: P4/mmm (123)
E above lowest polymorph: 70 meV per atom

Repeat the second record exactly.
Compound: LaPbW3
Source: Alexandria
Functional: PBE
Structure: relaxed

Structure (extended XYZ):
```
5
Lattice="4.9647 0.0000 0.0000 0.0000 4.9647 0.0000 0.0000 0.0000 4.9647" Properties=species:S:1:pos:R:3 pbc="T T T"
Pb 2.4824 2.4824 2.4824
W 0.0000 2.4824 0.0000
W 0.0000 0.0000 2.4824
W 2.4824 0.0000 0.0000
La 0.0000 0.0000 0.0000
```

Results
DOS at the Fermi energy: 1.4663 states/eV per atom
Calculated total energy: -6.663 eV per atom
Symmetry: Pm-3m (221)
E above lowest polymorph: 406 meV per atom

Question: Which formula does entry 1 have?
Answer: Bi3S3O

Question: Which of these has the highest DOS at the Fermi energy?
Answer: NpAl2